## GdTi2Nb (PBE-GGA)

Data for a relaxed structure of GdTi2Nb.

The structure belongs to space group P4/mmm (No. 123); the cell edges are 3.464, 3.464 and 6.956 Å and the angles 90.00°, 90.00° and 90.00°. The inequivalent atoms are Gd at (0.000, 0.000, 0.000), Ti at (0.500, 0.500, 0.303) and Nb at (0.000, 0.000, 0.500).

The value obtained for the mass density is 6.9 g/cm3. For the energy relative to the elements, the calculation gives 0.40 eV per formula unit.